Entry 1:
Computed, not measured: Li2HgPt after structural relaxation at the GGA-PBE level of DFT.

DFT formation energy ... -0.45 eV/atom
ρ ... 10865 kg/m3

Cell lengths 2.918, 3.776, 5.681 Å; angles 90.00, 90.53, 90.00 degrees
Fractional coordinates of all 4 atoms:
1 Li 0.001 0.000 0.219
2 Li 0.999 0.000 0.781
3 Hg 0.500 0.500 0.500
4 Pt 0.500 0.500 0.000

***

Entry 2:
Computed, not measured: Ac2GaH2O6 after structural relaxation at the GGA-PBE level of DFT.

E_tot ... -69.01 eV/cell
ρ ... 8485 kg/m3

Cell lengths 5.918, 5.918, 5.918 Å; angles 52.77, 52.77, 52.77 degrees
Fractional coordinates of all 11 atoms:
1 Ac 0.238 0.238 0.238
2 Ac 0.762 0.762 0.762
3 Ga 0.000 0.000 0.000
4 H 0.418 0.418 0.418
5 H 0.582 0.582 0.582
6 O 0.253 0.253 0.735
7 O 0.253 0.735 0.253
8 O 0.265 0.747 0.747
9 O 0.735 0.253 0.253
10 O 0.747 0.265 0.747
11 O 0.747 0.747 0.265